The following is a DFT calculation (PBE) of a relaxed SrLaB6C6 crystal. Values from VASP.

Space-group type   Pm-3, No. 200
Magnetization   0.00 μB/f.u.
Total energy   -102.347 eV for the cell shown
DOS(E_F)   0.167 states/eV/atom

```
&SYSTEM
  ibrav = 0, nat = 14, ntyp = 4
/
ATOMIC_SPECIES
Sr 87.62 Sr.upf
La 138.91 La.upf
B 10.81 B.upf
C 12.01 C.upf
CELL_PARAMETERS angstrom
4.896 0.000 0.000
0.000 4.896 0.000
0.000 0.000 4.896
ATOMIC_POSITIONS crystal
Sr 0.000 0.000 0.000
La 0.500 0.500 0.500
B 0.000 0.248 0.500
B 0.000 0.752 0.500
B 0.248 0.500 0.000
B 0.500 0.000 0.248
B 0.500 0.000 0.752
B 0.752 0.500 0.000
C 0.000 0.500 0.252
C 0.000 0.500 0.748
C 0.252 0.000 0.500
C 0.500 0.252 0.000
C 0.500 0.748 0.000
C 0.748 0.000 0.500
```